1.
Computed, not measured: Na2RuF after structural relaxation at the PBE level of DFT.

Unit cell a=6.9373 b=6.9373 c=6.9373 alpha=90.00 beta=90.00 gamma=90.00
With the nearest neighbours (Å) after each atom.
Space group Fm-3m (No. 225)
One atom of each set of equivalent atoms:
Na (0.2500, 0.2500, 0.2500) [8 per cell]  4 F 3.00, 4 Ru 3.00
Ru (0.0000, 0.0000, 0.0000) [4 per cell]  8 Na 3.00
F (0.0000, 0.0000, 0.5000) [4 per cell]  8 Na 3.00

Energy above the most stable polymorph in this dataset   424 meV per atom
DFT total energy   -51.5 eV for the cell shown
Formation energy from raw total energies   0.227 eV per atom


2.
Computed, not measured: Na3RuF8 after structural relaxation at the PBE level of DFT.

Unit cell a=5.3016 b=5.3016 c=5.3016 alpha=90.00 beta=90.00 gamma=90.00
With the nearest neighbours (Å) after each atom.
Space group Pm-3m (No. 221)
One atom of each set of equivalent atoms:
Na (0.0000, 0.0000, 0.5000) [3 per cell]  8 F 2.39
Ru (0.5000, 0.5000, 0.5000) [1 per cell]  8 F 2.04
F (0.2782, 0.2782, 0.2782) [8 per cell]  1 Ru 2.04

DFT total energy   -54.2 eV for the cell shown
Formation energy from raw total energies   -2.165 eV per atom


3.
Computed, not measured: NaRu2F after structural relaxation at the PBE level of DFT.

Unit cell a=6.3159 b=6.3159 c=6.3159 alpha=90.00 beta=90.00 gamma=90.00
With the nearest neighbours (Å) after each atom.
Space group Fm-3m (No. 225)
One atom of each set of equivalent atoms:
Na (0.0000, 0.0000, 0.0000) [4 per cell]  8 Ru 2.73
Ru (0.2500, 0.2500, 0.2500) [8 per cell]  4 F 2.73, 4 Na 2.73
F (0.0000, 0.0000, 0.5000) [4 per cell]  8 Ru 2.73

Energy above the most stable polymorph in this dataset   488 meV per atom
DFT total energy   -69.2 eV for the cell shown
Formation energy from raw total energies   1.111 eV per atom


4.
Computed, not measured: NaRuF2 after structural relaxation at the PBE level of DFT.

Unit cell a=6.0017 b=6.0017 c=6.8441 alpha=90.00 beta=90.00 gamma=90.00
With the nearest neighbours (Å) after each atom.
Space group I-42d (No. 122)
One atom of each set of equivalent atoms:
Na (0.0000, 0.0000, 0.0000) [4 per cell]  4 F 2.25
Ru (0.0000, 0.0000, 0.5000) [4 per cell]  4 F 2.32
F (0.2414, 0.2500, 0.1250) [8 per cell]  2 Na 2.25, 2 Ru 2.32

Energy above the most stable polymorph in this dataset   571 meV per atom
DFT total energy   -73.1 eV for the cell shown
Formation energy from raw total energies   -0.981 eV per atom


5.
Computed, not measured: NaRu3F after structural relaxation at the PBE level of DFT.

Unit cell a=4.7313 b=4.7313 c=4.7313 alpha=90.00 beta=90.00 gamma=90.00
With the nearest neighbours (Å) after each atom.
Space group Pm-3m (No. 221)
One atom of each set of equivalent atoms:
Na (0.0000, 0.0000, 0.0000) [1 per cell]  6 Ru 2.37
Ru (0.0000, 0.0000, 0.5000) [3 per cell]  2 Na 2.37
F (0.5000, 0.5000, 0.5000) [1 per cell]  12 Ru 3.35

Energy above the most stable polymorph in this dataset   1237 meV per atom
DFT total energy   -19.1 eV for the cell shown
Formation energy from raw total energies   2.385 eV per atom


6.
Computed, not measured: NaSrRu2F after structural relaxation at the PBE level of DFT.

Unit cell a=4.5959 b=4.5959 c=6.5096 alpha=90.00 beta=90.00 gamma=90.00
With the nearest neighbours (Å) after each atom.
Space group P4/mmm (No. 123)
One atom of each set of equivalent atoms:
Na (0.0000, 0.0000, 0.0000) [1 per cell]  4 Ru 2.30
Sr (0.0000, 0.0000, 0.5000) [1 per cell]  4 F 3.25, 2 Na 3.25
Ru (0.0000, 0.5000, 0.0000) [2 per cell]  2 Na 2.30
F (0.5000, 0.5000, 0.5000) [1 per cell]  4 Sr 3.25

DFT total energy   -17.5 eV for the cell shown
Formation energy from raw total energies   1.179 eV per atom